# PBE with a Hubbard U TlW2O, relaxed
data_TlW2O
_space_group_name_H-M_alt 'P 1'
_space_group_IT_number 1
_cell_length_a 4.5090
_cell_length_b 4.5090
_cell_length_c 4.5090
_cell_angle_alpha 60.00
_cell_angle_beta 60.00
_cell_angle_gamma 60.00
loop_
_space_group_symop_operation_xyz
'x,y,z'
loop_
_atom_site_label
_atom_site_fract_x
_atom_site_fract_y
_atom_site_fract_z
Tl1 0.0000 0.0000 0.0000
W1 0.2500 0.2500 0.2500
W2 0.7500 0.7500 0.7500
O1 0.5000 0.5000 0.5000
# - Fermi-level density of states (states/eV per atom) = 0.78
# - energy above the most stable polymorph in this dataset (kcal/mol of atoms) = 22.95
# - uncorrected energy (eV/cell) = -15.4